TlHAu: optimized geometry, PBE-GGA.

Geometry as POSCAR:
```
TlHAu
1.0
7.3749 0.0000 0.0000
0.0000 5.9155 0.4804
0.0000 -1.2694 5.3768
H Tl Au
4 4 4
direct
0.9027 0.7511 0.7509
0.5973 0.7511 0.2509
0.0973 0.2489 0.2491
0.4027 0.2489 0.7491
0.3741 0.7491 0.7507
0.6259 0.2509 0.2493
0.1259 0.7491 0.2507
0.8741 0.2509 0.7493
0.2499 0.2496 0.9991
0.7501 0.7504 0.0009
0.7499 0.7504 0.5009
0.2501 0.2496 0.4991
```

Calculated values
magnetization = 0.000 μB/cell
energy above the lowest structure with this stoichiometry = 0.00 eV/f.u.